[1]
Density functional theory data (PBE) for Sm2Dy3PuS6 after structural relaxation.

Results
Mass density   7.79 g cm⁻³
DOS(E_F)   0.634 states/eV/atom
Total energy   -7.183 eV/atom
Formation energy from raw total energies   -1.988 eV/atom

a = 3.9266 Å, b = 7.9368 Å, c = 8.8348 Å
α = 103.24°, β = 102.84°, γ = 90.00°
Closest atoms and distances in Å follow each position.
Element x y z (fractional)
S 0.3348 0.4109 0.6696  3 Dy 2.77, 3 Sm 2.84
S 0.9975 0.2518 0.9949  3 Dy 2.75-2.77, 1 Sm 2.81, 2 Pu 2.81
S 0.6679 0.0781 0.3358  3 Dy 2.75-2.77, 1 Pu 2.81, 2 Sm 2.81
Dy 0.1665 0.8357 0.3330  6 S 2.75-2.77
Sm 0.1650 0.3305 0.3300  6 S 2.81-2.84
S 0.3321 0.9219 0.6642  3 Dy 2.75-2.77, 1 Pu 2.81, 2 Sm 2.81
S 0.6652 0.5891 0.3303  3 Dy 2.77, 3 Sm 2.84
Pu 0.5000 0.0000 0.0000  6 S 2.81
Dy 0.5000 0.5000 0.0000  6 S 2.77
S 0.0025 0.7482 0.0051  3 Dy 2.75-2.77, 1 Sm 2.81, 2 Pu 2.81
Sm 0.8350 0.6695 0.6700  6 S 2.81-2.84
Dy 0.8335 0.1643 0.6670  6 S 2.75-2.77

***

[2]
Density functional theory data (PBE) for BeV2N after structural relaxation.

Results
Mass density   4.90 g cm⁻³
DOS(E_F)   0.466 states/eV/atom
Total energy   -8.110 eV/atom
Formation energy from raw total energies   -0.538 eV/atom
Energy relative to the lowest polymorph listed for this composition   0.00 eV per formula unit

a = 2.8512 Å, b = 2.8512 Å, c = 6.2296 Å
α = 76.77°, β = 76.77°, γ = 60.00°
Closest atoms and distances in Å follow each position.
Element x y z (fractional)
V 0.7284 0.7284 0.8149  3 N 1.99
V 0.2716 0.2716 0.1851  3 N 1.99
Be 0.5000 0.5000 0.5000  6 V 2.51
N 0.0000 0.0000 0.0000  6 V 1.99

***

[3]
Density functional theory data (PBE) for Li5UO5 after structural relaxation.

Results
Mass density   4.65 g cm⁻³
Total energy   -6.539 eV/atom
Formation energy from raw total energies   -2.389 eV/atom

a = 4.3576 Å, b = 5.5149 Å, c = 6.0842 Å
α = 108.59°, β = 90.00°, γ = 113.27°
Closest atoms and distances in Å follow each position.
Element x y z (fractional)
Li 0.2850 0.5701 0.6566  2 O 1.96
O 0.1681 0.3363 0.3229  2 Li 1.96-2.11, 1 U 2.11
Li 0.0000 0.0000 0.5000  2 O 2.00
Li 0.7150 0.4299 0.3434  2 O 1.96
O 0.1483 0.2966 0.8194  3 Li 1.96-2.07, 1 U 2.15
U 0.0000 0.0000 0.0000  6 O 2.11-2.18
O 0.8517 0.7034 0.1806  3 Li 1.96-2.07, 1 U 2.15
Li 0.6891 0.3782 0.8608  4 O 2.07-2.22
Li 0.3109 0.6218 0.1392  4 O 2.07-2.22
O 0.8319 0.6637 0.6771  2 Li 1.96-2.11, 1 U 2.11
O 0.5000 0.0000 0.0000  2 U 2.18, 4 Li 2.35-2.44

***

[4]
Density functional theory data (PBE) for Tb12Tm6Th after structural relaxation.

Results
Mass density   8.56 g cm⁻³
DOS(E_F)   1.728 states/eV/atom
Formation enthalpy at 0 K   0.142 eV/atom
Total energy   -4.585 eV/atom
Energy relative to the lowest polymorph listed for this composition   0.00 eV per formula unit

a = 8.4918 Å, b = 8.4918 Å, c = 8.4918 Å
α = 88.69°, β = 88.69°, γ = 88.69°
Closest atoms and distances in Å follow each position.
Element x y z (fractional)
Tb 0.7962 0.6465 0.9887  4 Tb 3.40-3.53, 4 Tm 3.48-3.68, 1 Th 3.50
Tb 0.7777 0.5400 0.4376  3 Tm 3.28-3.42, 6 Tb 3.29-3.59
Tm 0.6941 0.2550 0.0954  6 Tb 3.28-3.55, 1 Th 3.44, 2 Tm 3.46
Tb 0.2038 0.3535 0.0113  4 Tb 3.40-3.53, 4 Tm 3.48-3.68, 1 Th 3.50
Tb 0.6465 0.9887 0.7962  4 Tb 3.40-3.53, 4 Tm 3.48-3.68, 1 Th 3.50
Tm 0.3059 0.7450 0.9046  6 Tb 3.28-3.55, 1 Th 3.44, 2 Tm 3.46
Tb 0.4376 0.7777 0.5400  3 Tm 3.28-3.42, 6 Tb 3.29-3.59
Tb 0.4600 0.5624 0.2223  3 Tm 3.28-3.42, 6 Tb 3.29-3.59
Tm 0.0954 0.6941 0.2550  6 Tb 3.28-3.55, 1 Th 3.44, 2 Tm 3.46
Th 0.0000 0.0000 0.0000  6 Tm 3.44, 6 Tb 3.50
Tb 0.9887 0.7962 0.6465  4 Tb 3.40-3.53, 4 Tm 3.48-3.68, 1 Th 3.50
Tm 0.2550 0.0954 0.6941  6 Tb 3.28-3.55, 1 Th 3.44, 2 Tm 3.46
Tm 0.7450 0.9046 0.3059  6 Tb 3.28-3.55, 1 Th 3.44, 2 Tm 3.46
Tb 0.0113 0.2038 0.3535  4 Tb 3.40-3.53, 4 Tm 3.48-3.68, 1 Th 3.50
Tb 0.3535 0.0113 0.2038  4 Tb 3.40-3.53, 4 Tm 3.48-3.68, 1 Th 3.50
Tb 0.5624 0.2223 0.4600  3 Tm 3.28-3.42, 6 Tb 3.29-3.59
Tb 0.2223 0.4600 0.5624  3 Tm 3.28-3.42, 6 Tb 3.29-3.59
Tm 0.9046 0.3059 0.7450  6 Tb 3.28-3.55, 1 Th 3.44, 2 Tm 3.46
Tb 0.5400 0.4376 0.7777  3 Tm 3.28-3.42, 6 Tb 3.29-3.59

***

[5]
Density functional theory data (PBE) for PmH4Pd3 after structural relaxation.

Results
Mass density   9.05 g cm⁻³
DOS(E_F)   0.273 states/eV/atom
Total energy   -4.593 eV/atom

a = 5.5589 Å, b = 5.5589 Å, c = 5.5589 Å
α = 90.00°, β = 90.00°, γ = 90.00°
Closest atoms and distances in Å follow each position.
Element x y z (fractional)
Pd 0.7500 0.0000 0.5000  4 H 1.97
H 0.2500 0.7500 0.7500  3 Pd 1.97
H 0.2500 0.2500 0.7500  3 Pd 1.97
Pm 0.0000 0.0000 0.0000  8 H 2.41
H 0.7500 0.2500 0.2500  3 Pd 1.97
H 0.2500 0.7500 0.2500  3 Pd 1.97
H 0.7500 0.7500 0.7500  3 Pd 1.97
Pd 0.2500 0.0000 0.5000  4 H 1.97
Pd 0.0000 0.5000 0.2500  4 H 1.97
Pd 0.5000 0.7500 0.0000  4 H 1.97
H 0.2500 0.2500 0.2500  3 Pd 1.97
Pd 0.0000 0.5000 0.7500  4 H 1.97
H 0.7500 0.7500 0.2500  3 Pd 1.97
Pm 0.5000 0.5000 0.5000  8 H 2.41
H 0.7500 0.2500 0.7500  3 Pd 1.97
Pd 0.5000 0.2500 0.0000  4 H 1.97

***

[6]
Density functional theory data (PBE) for HIrSe2 after structural relaxation.

Results
Mass density   8.21 g cm⁻³
DOS(E_F)   0.492 states/eV/atom
Total energy   -4.798 eV/atom
Energy relative to the lowest polymorph listed for this composition   0.58 eV per formula unit

a = 3.8541 Å, b = 5.5510 Å, c = 7.4184 Å
α = 116.17°, β = 86.83°, γ = 88.61°
Closest atoms and distances in Å follow each position.
Element x y z (fractional)
Se 0.6161 0.1577 0.8392  1 H 1.52
Se 0.4393 0.0283 0.2641  1 H 1.52
H 0.3132 0.3574 0.9568  1 Se 1.52
Ir 0.3005 0.8842 0.5252  5 Se 2.44-2.57
Se 0.2157 0.6179 0.7317  3 Ir 2.48-2.57, 1 H 2.68
H 0.7422 0.8286 0.1465  1 Se 1.52
Ir 0.7548 0.3019 0.5782  5 Se 2.44-2.57
Se 0.8396 0.5682 0.3717  3 Ir 2.48-2.57, 1 H 2.68

***

[7]
Density functional theory data (PBE) for RuAuCl2 after structural relaxation.

Results
Mass density   8.20 g cm⁻³
DOS(E_F)   0.424 states/eV/atom
Total energy   -3.378 eV/atom
Formation energy from raw total energies   0.684 eV/atom
Energy relative to the lowest polymorph listed for this composition   2.55 eV per formula unit

a = 4.9361 Å, b = 4.9361 Å, c = 4.9361 Å
α = 126.77°, β = 126.77°, γ = 78.62°
Closest atoms and distances in Å follow each position.
Element x y z (fractional)
Ru 0.2500 0.7500 0.5000  8 Cl 2.92, 4 Au 3.13
Cl 0.0000 0.0000 0.0000  4 Ru 2.92, 4 Au 2.92, 4 Cl 3.13
Cl 0.5000 0.5000 0.0000  4 Ru 2.92, 4 Au 2.92, 4 Cl 3.13
Au 0.7500 0.2500 0.5000  8 Cl 2.92, 4 Ru 3.13

***

[8]
Density functional theory data (PBE) for Li2YPt after structural relaxation.

Results
Mass density   6.32 g cm⁻³
DOS(E_F)   0.341 states/eV/atom
Formation enthalpy at 0 K   -0.055 eV/atom
Total energy   -4.138 eV/atom
Energy relative to the lowest polymorph listed for this composition   1.99 eV per formula unit

a = 9.9071 Å, b = 9.9071 Å, c = 9.9071 Å
α = 17.67°, β = 17.67°, γ = 17.67°
Closest atoms and distances in Å follow each position.
Element x y z (fractional)
Li 0.5162 0.5162 0.5162  3 Pt 2.63
Y 0.7500 0.7500 0.7500  6 Y 3.04, 6 Li 3.40
Li 0.9838 0.9838 0.9838  3 Pt 2.63
Pt 0.2500 0.2500 0.2500  6 Li 2.63